Record 1
Here is an optimized crystal structure of PaGa4Ni2 from Alexandria. Energies are from PBE-GGA.

Output
DFT formation energy = -6.67 kcal/mol of atoms

Unit cell a=4.185 b=4.188 c=6.935 alpha=107.57 beta=90.00 gamma=90.00
Sites, in units of the cell vectors:
Pa: 0.000 0.000 0.000
Ga: 0.500 0.823 0.646
Ga: 0.000 0.679 0.357
Ga: 0.500 0.177 0.354
Ga: 0.000 0.321 0.643
Ni: 0.500 0.589 0.178
Ni: 0.500 0.411 0.822

Record 2
Here is an optimized crystal structure of Ho2TmAl from Alexandria. Energies are from PBE-GGA.

Output
DFT formation energy = -1.74 kcal/mol of atoms

Unit cell a=3.549 b=3.549 c=10.519 alpha=80.28 beta=80.28 gamma=59.99
Sites, in units of the cell vectors:
Ho: 0.074 0.074 0.779
Ho: 0.260 0.260 0.221
Tm: 0.500 0.500 0.499
Al: 0.666 0.666 0.001

Record 3
Here is an optimized crystal structure of FeCoSi2 from Alexandria. Energies are from PBE-GGA.

Output
ΔE_f (raw) = -0.44 eV/atom

Unit cell a=2.760 b=2.778 c=6.217 alpha=63.51 beta=90.00 gamma=90.00
Sites, in units of the cell vectors:
Co: 0.500 0.250 0.250
Fe: 0.500 0.750 0.750
Si: 0.000 0.002 0.998
Si: 0.000 0.498 0.502

Record 4
Here is an optimized crystal structure of Pm6AlCd5 from Alexandria. Energies are from PBE-GGA.

Output
DFT formation energy = -7.53 kcal/mol of atoms

Unit cell a=5.362 b=7.687 c=8.493 alpha=90.00 beta=71.60 gamma=90.00
Sites, in units of the cell vectors:
Cd: 0.668 0.500 0.665
Cd: 0.330 0.000 0.339
Cd: 0.000 0.500 0.000
Cd: 0.670 0.000 0.661
Cd: 0.332 0.500 0.335
Al: 0.000 0.000 0.000
Pm: 0.837 0.755 0.326
Pm: 0.837 0.245 0.326
Pm: 0.500 0.241 0.000
Pm: 0.500 0.759 0.000
Pm: 0.163 0.755 0.674
Pm: 0.163 0.245 0.674